First-principles (PBE+U) data for an optimized crystal structure of UCdFe2O6, as listed in Alexandria via LeMat-Bulk.

a b c (Å): 5.498 5.498 5.277
angles (deg): 90.00 90.00 90.00
Positions (direct):
U 0.000 0.000 0.000
Cd 0.500 0.500 0.943
Fe 0.000 0.500 0.336
Fe 0.500 0.000 0.336
O 0.000 0.000 0.633
O 0.242 0.242 0.169
O 0.242 0.758 0.169
O 0.500 0.500 0.553
O 0.758 0.242 0.169
O 0.758 0.758 0.169

Results
density	5.8	g cm⁻³
VASP energy	-6.85	eV per atom
calculated volume	15.95	A^3/atom